An optimized crystal structure of Tb4HoCu. Source: Alexandria via LeMat-Bulk, functional PBE.

abc: 3.517 3.517 13.725
angles: 90.00 90.00 90.00
Positions (direct):
Tb1 0.500 0.500 0.183
Tb2 0.000 0.000 0.625
Tb3 0.000 0.000 0.375
Ho1 0.000 0.000 0.000
Cu1 0.500 0.500 0.500
Tb4 0.500 0.500 0.817

Output
Formation energy from the elements = -0.055 eV/atom
Space-group type = P4/mmm



An optimized crystal structure of Rb2LaZrSe4. Source: Alexandria via LeMat-Bulk, functional PBE.

abc: 4.184 7.343 8.389
angles: 106.45 90.00 90.00
Positions (direct):
Se1 0.500 0.789 0.807
Rb1 0.000 0.500 0.500
Rb2 0.500 0.000 0.500
Se2 0.500 0.211 0.193
La1 0.500 0.500 0.000
Se3 0.000 0.757 0.202
Se4 0.000 0.243 0.798
Zr1 0.000 0.000 0.000

Output
Space-group type = P2/m
Final energy = -5.180 eV/atom



An optimized crystal structure of LaTb5Er3. Source: Alexandria via LeMat-Bulk, functional PBE.

abc: 9.394 9.394 12.939
angles: 50.78 50.78 50.43
Positions (direct):
Tb1 0.370 0.370 0.929
Tb2 0.492 0.077 0.779
Tb3 0.630 0.630 0.071
Tb4 0.077 0.492 0.779
Er1 0.173 0.173 0.662
Tb5 0.923 0.508 0.221
Er2 0.000 0.000 0.500
Er3 0.699 0.699 0.680
Tb6 0.679 0.321 0.000
La1 0.100 0.100 0.138
Tb7 0.508 0.923 0.221
Er4 0.301 0.301 0.320
Tb8 0.556 0.556 0.569
Tb9 0.444 0.444 0.431
La2 0.900 0.900 0.862
Tb10 0.321 0.679 0.000
Er5 0.000 0.000 0.000
Er6 0.827 0.827 0.338

Output
Formation energy from the elements = 0.419 eV/atom
Space-group type = C2/m



An optimized crystal structure of Sm2Er5Th2. Source: Alexandria via LeMat-Bulk, functional PBE.

abc: 3.468 8.057 12.808
angles: 119.51 97.78 90.00
Positions (direct):
Er1 0.091 0.454 0.183
Th1 0.552 0.753 0.104
Er2 0.308 0.159 0.616
Er3 0.909 0.546 0.817
Er4 0.692 0.841 0.384
Sm1 0.176 0.200 0.351
Er5 0.000 0.000 0.000
Th2 0.448 0.247 0.896
Sm2 0.824 0.800 0.649

Output
Formation energy from the elements = 0.266 eV/atom
Space-group type = C2/m



An optimized crystal structure of Y2FePt. Source: Alexandria via LeMat-Bulk, functional PBE.

abc: 6.163 6.163 6.163
angles: 146.64 137.23 55.30
Last column: magnetic moment on the atom in μB.
Positions (direct):
Y1 0.015 0.015 0.000  -0.31
Y2 0.736 0.236 0.500  -0.13
Fe1 0.460 0.460 0.000  2.40
Pt1 0.290 0.790 0.500  0.07

Output
Formation energy from the elements = -0.386 eV/atom
Space-group type = Imm2



An optimized crystal structure of Cs2InS2. Source: Alexandria via LeMat-Bulk, functional PBE.

abc: 5.807 5.807 7.374
angles: 66.81 66.81 90.00
Last column: magnetic moment on the atom in μB.
Positions (direct):
S1 0.587 0.587 0.826  0.02
Cs1 0.750 0.250 0.500  0.03
S2 0.413 0.413 0.174  0.02
In1 0.000 0.000 0.000  0.20
Cs2 0.250 0.750 0.500  0.03

Output
Space-group type = I4/mmm
Final energy = -2.833 eV/atom



An optimized crystal structure of CsYCl3. Source: Alexandria via LeMat-Bulk, functional PBE.

abc: 9.046 7.138 5.440
angles: 90.00 72.71 90.00
Positions (direct):
Y1 0.996 0.750 0.002
Cs1 0.399 0.750 0.303
Cl1 0.750 0.004 0.123
Y2 0.004 0.250 0.998
Cl2 0.004 0.250 0.498
Cl3 0.250 0.504 0.877
Cs2 0.601 0.250 0.697
Cl4 0.996 0.750 0.502
Cl5 0.750 0.496 0.123
Cl6 0.250 0.996 0.877

Output
Space-group type = P2_1/m
Final energy = -4.512 eV/atom



An optimized crystal structure of Nd9Co2I14. Source: Alexandria via LeMat-Bulk, functional PBE.

abc: 9.293 9.293 12.732
angles: 90.00 90.00 120.00
Last column: magnetic moment on the atom in μB.
Positions (direct):
I1 0.637 0.954 0.907  0.01
Nd1 0.289 0.896 0.336  0.29
I2 0.363 0.046 0.093  0.01
I3 0.087 0.401 0.598  0.01
Nd2 0.393 0.289 0.664  0.29
I4 0.000 0.000 0.742  0.01
I5 0.401 0.314 0.402  0.01
Nd3 0.711 0.104 0.664  0.29
I6 0.000 0.000 0.258  0.01
Nd4 0.667 0.333 0.933  0.32
I7 0.046 0.683 0.907  0.01
I8 0.314 0.913 0.598  0.01
Nd5 0.607 0.711 0.336  0.29
I9 0.913 0.599 0.402  0.01
Nd6 0.104 0.393 0.336  0.29
I10 0.317 0.363 0.907  0.01
I11 0.686 0.087 0.402  0.01
Co1 0.667 0.333 0.735  0.18
Nd7 0.333 0.667 0.067  0.32
I12 0.599 0.686 0.598  0.01
Nd8 0.000 0.000 0.000  -0.18
I13 0.683 0.637 0.093  0.01
Nd9 0.896 0.607 0.664  0.29
Co2 0.333 0.667 0.265  0.18
I14 0.954 0.317 0.093  0.01

Output
Space-group type = P-3
Final energy = -4.115 eV/atom



Repeat the second record exactly.
An optimized crystal structure of Rb2LaZrSe4. Source: Alexandria via LeMat-Bulk, functional PBE.

abc: 4.184 7.343 8.389
angles: 106.45 90.00 90.00
Positions (direct):
Se1 0.500 0.789 0.807
Rb1 0.000 0.500 0.500
Rb2 0.500 0.000 0.500
Se2 0.500 0.211 0.193
La1 0.500 0.500 0.000
Se3 0.000 0.757 0.202
Se4 0.000 0.243 0.798
Zr1 0.000 0.000 0.000

Output
Space-group type = P2/m
Final energy = -5.180 eV/atom